Density functional theory data (PBE-GGA) for crystalline Pm2CdPd4 at its relaxed geometry.

Unit cell a=4.960 b=4.960 c=14.390 alpha=90.00 beta=90.00 gamma=90.00
Space group I4/mmm (No. 139)
One atom of each set of equivalent atoms:
Pm  0.000  0.000  0.131 (multiplicity 4)
Cd  0.000  0.000  0.500 (multiplicity 2)
Pd  0.000  0.000  0.316 (multiplicity 4)
Pd  0.000  0.500  0.000 (multiplicity 4)


Density functional theory data (PBE-GGA) for crystalline PmCd2Pd5 at its relaxed geometry.

Properties
ΔE to the lowest computed polymorph (meV per atom): 0

Unit cell a=4.247 b=4.247 c=15.967 alpha=90.00 beta=90.00 gamma=90.00
Space group I4/mmm (No. 139)
One atom of each set of equivalent atoms:
Pm  0.000  0.000  0.000 (multiplicity 2)
Cd  0.000  0.000  0.252 (multiplicity 4)
Pd  0.000  0.000  0.500 (multiplicity 2)
Pd  0.000  0.500  0.130 (multiplicity 8)


Density functional theory data (PBE-GGA) for crystalline PmCd3Pd at its relaxed geometry.

Properties
ΔE to the lowest computed polymorph (meV per atom): 0

Unit cell a=5.560 b=5.849 c=6.984 alpha=90.00 beta=92.69 gamma=90.00
Space group P2_1/m (No. 11)
One atom of each set of equivalent atoms:
Pm  0.147  0.250  0.369 (multiplicity 2)
Cd  0.091  0.750  0.104 (multiplicity 2)
Cd  0.368  0.004  0.805 (multiplicity 4)
Pd  0.338  0.750  0.459 (multiplicity 2)


| no. | DFT total energy (eV/f.u.) | energy relative to the elements (eV/atom) |
| --- | --- | --- |
| 1 | -32.12 | -0.133 |
| 2 | -37.09 | -0.568 |
| 3 | -14.85 | -0.432 |